Density functional theory data (GGA-PBE) for a relaxed structure of Rb2TePdO4.

Cell lengths 6.6293, 6.6293, 7.3116 Å; angles 90.00, 90.00, 90.00 degrees
Closest atoms and distances in Å follow each position.
Fractional coordinates of all 16 atoms:
Rb  0.0000  0.0000  0.0000  4 O 2.93
Rb  0.0000  0.5000  0.2500  4 O 2.95
Rb  0.5000  0.0000  0.7500  4 O 2.95
Rb  0.5000  0.5000  0.5000  4 O 2.93
Te  0.0000  0.0000  0.5000  4 O 1.98
Te  0.5000  0.5000  0.0000  4 O 1.98
Pd  0.0000  0.5000  0.7500  4 O 2.19
Pd  0.5000  0.0000  0.2500  4 O 2.19
O  0.1184  0.7934  0.6624  1 Te 1.98, 1 Pd 2.19
O  0.2066  0.1184  0.3376  1 Te 1.98, 1 Pd 2.19
O  0.2934  0.3816  0.8376  1 Te 1.98, 1 Pd 2.19
O  0.3816  0.7066  0.1624  1 Te 1.98, 1 Pd 2.19
O  0.6184  0.2934  0.1624  1 Te 1.98, 1 Pd 2.19
O  0.7066  0.6184  0.8376  1 Te 1.98, 1 Pd 2.19
O  0.7934  0.8816  0.3376  1 Te 1.98, 1 Pd 2.19
O  0.8816  0.2066  0.6624  1 Te 1.98, 1 Pd 2.19

- calculated total energy (eV per atom) = -4.699
- volume (Å³/cell) = 321.3

=====

Density functional theory data (GGA-PBE) for a relaxed structure of Rb2TePdO6.

Cell lengths 6.2661, 6.2661, 5.4277 Å; angles 90.00, 90.00, 120.00 degrees
Closest atoms and distances in Å follow each position.
Fractional coordinates of all 10 atoms:
Rb  0.3333  0.6667  0.1951  9 O 3.17-3.26
Rb  0.6667  0.3333  0.8049  9 O 3.17-3.26
Te  0.0000  0.0000  0.5000  6 O 1.98
Pd  0.0000  0.0000  0.0000  6 O 2.06
O  0.1378  0.2756  0.7386  1 Te 1.98, 1 Pd 2.06
O  0.1378  0.8622  0.7386  1 Te 1.98, 1 Pd 2.06
O  0.2756  0.1378  0.2614  1 Te 1.98, 1 Pd 2.06
O  0.7244  0.8622  0.7386  1 Te 1.98, 1 Pd 2.06
O  0.8622  0.1378  0.2614  1 Te 1.98, 1 Pd 2.06
O  0.8622  0.7244  0.2614  1 Te 1.98, 1 Pd 2.06

- calculated total energy (eV per atom) = -5.102
- volume (Å³/cell) = 184.6

=====

Density functional theory data (GGA-PBE) for a relaxed structure of Rb2ThPdO4.

Cell lengths 4.2544, 8.3592, 10.1557 Å; angles 90.00, 90.00, 90.00 degrees
Closest atoms and distances in Å follow each position.
Fractional coordinates of all 16 atoms:
Rb  0.2500  0.0136  0.1771  4 O 2.64-2.75
Rb  0.2500  0.4864  0.1771  4 O 2.64-2.75
Rb  0.7500  0.5136  0.8229  4 O 2.64-2.75
Rb  0.7500  0.9864  0.8229  4 O 2.64-2.75
Th  0.2500  0.2500  0.5919  5 O 2.26-2.31
Th  0.7500  0.7500  0.4081  5 O 2.26-2.31
Pd  0.2500  0.7500  0.6624  4 O 2.05-2.15
Pd  0.7500  0.2500  0.3376  4 O 2.05-2.15
O  0.2500  0.2500  0.3650  2 Pd 2.15, 1 Th 2.30
O  0.2500  0.5052  0.6641  1 Pd 2.05, 1 Th 2.26
O  0.2500  0.7500  0.3200  2 Th 2.31
O  0.2500  0.9948  0.6641  1 Pd 2.05, 1 Th 2.26
O  0.7500  0.0052  0.3359  1 Pd 2.05, 1 Th 2.26
O  0.7500  0.2500  0.6800  2 Th 2.31
O  0.7500  0.4948  0.3359  1 Pd 2.05, 1 Th 2.26
O  0.7500  0.7500  0.6350  2 Pd 2.15, 1 Th 2.30

- calculated total energy (eV per atom) = -6.105
- volume (Å³/cell) = 361.2

=====

Density functional theory data (GGA-PBE) for a relaxed structure of RbTi2PdO6.

Cell lengths 7.4888, 7.4888, 6.3551 Å; angles 103.20, 103.20, 90.45 degrees
Closest atoms and distances in Å follow each position.
Fractional coordinates of all 20 atoms:
Rb  0.0922  0.9078  0.7500  4 O 2.64-2.94
Rb  0.9078  0.0922  0.2500  4 O 2.64-2.94
Ti  0.2192  0.3872  0.8761  4 O 1.78-1.92
Ti  0.3872  0.2192  0.3761  4 O 1.78-1.92
Ti  0.6128  0.7808  0.6239  4 O 1.78-1.92
Ti  0.7808  0.6128  0.1239  4 O 1.78-1.92
Pd  0.2910  0.7090  0.2500  4 O 2.00-2.14
Pd  0.7090  0.2910  0.7500  4 O 2.00-2.14
O  0.0063  0.7142  0.2546  1 Ti 1.78
O  0.2238  0.6313  0.9178  1 Ti 1.79
O  0.2858  0.9937  0.2454  1 Ti 1.78
O  0.2896  0.3717  0.1768  2 Ti 1.89-1.92
O  0.3687  0.7762  0.5822  1 Ti 1.79
O  0.3717  0.2896  0.6768  2 Ti 1.89-1.92
O  0.6283  0.7104  0.3232  2 Ti 1.89-1.92
O  0.6313  0.2238  0.4178  1 Ti 1.79
O  0.7104  0.6283  0.8232  2 Ti 1.89-1.92
O  0.7142  0.0063  0.7546  1 Ti 1.78
O  0.7762  0.3687  0.0822  1 Ti 1.79
O  0.9937  0.2858  0.7454  1 Ti 1.78

- calculated total energy (eV per atom) = -7.191
- volume (Å³/cell) = 337.2

=====

Density functional theory data (GGA-PBE) for a relaxed structure of Rb2Tm2PdO6.

Cell lengths 5.7193, 5.7193, 6.8752 Å; angles 97.47, 97.47, 119.65 degrees
Closest atoms and distances in Å follow each position.
Fractional coordinates of all 11 atoms:
Rb  0.1640  0.8360  0.0000  6 O 2.86-3.04
Rb  0.8360  0.1640  0.0000  6 O 2.86-3.04
Tm  0.3349  0.6651  0.5000  6 O 2.25-2.26
Tm  0.6651  0.3349  0.5000  6 O 2.25-2.26
Pd  0.0000  0.0000  0.5000  6 O 2.10-2.11
O  0.0489  0.3658  0.6644  1 Pd 2.11, 2 Tm 2.25-2.26
O  0.2590  0.2590  0.3341  1 Pd 2.10, 2 Tm 2.25
O  0.3658  0.0489  0.6644  1 Pd 2.11, 2 Tm 2.25-2.26
O  0.6342  0.9511  0.3356  1 Pd 2.11, 2 Tm 2.25-2.26
O  0.7410  0.7410  0.6659  1 Pd 2.10, 2 Tm 2.25
O  0.9511  0.6342  0.3356  1 Pd 2.11, 2 Tm 2.25-2.26

- calculated total energy (eV per atom) = -6.296
- volume (Å³/cell) = 188.8

=====

Density functional theory data (GGA-PBE) for a relaxed structure of RbTmPdO3.

Cell lengths 7.4092, 7.4092, 8.5362 Å; angles 90.00, 90.00, 150.47 degrees
Closest atoms and distances in Å follow each position.
Fractional coordinates of all 12 atoms:
Rb  0.2176  0.7824  0.7500  2 O 2.78
Rb  0.7824  0.2176  0.2500  2 O 2.78
Tm  0.5000  0.5000  0.0000  6 O 2.23-2.34
Tm  0.5000  0.5000  0.5000  6 O 2.23-2.34
Pd  0.0900  0.9100  0.2500  4 O 2.00-2.10
Pd  0.9100  0.0900  0.7500  4 O 2.00-2.10
O  0.0964  0.9036  0.0044  1 Pd 2.10, 2 Tm 2.34
O  0.0964  0.9036  0.4956  1 Pd 2.10, 2 Tm 2.34
O  0.4551  0.5449  0.7500  2 Pd 2.00, 2 Tm 2.23
O  0.5449  0.4551  0.2500  2 Pd 2.00, 2 Tm 2.23
O  0.9036  0.0964  0.5044  1 Pd 2.10, 2 Tm 2.34
O  0.9036  0.0964  0.9956  1 Pd 2.10, 2 Tm 2.34

- calculated total energy (eV per atom) = -6.096
- volume (Å³/cell) = 230.9

=====

Density functional theory data (GGA-PBE) for a relaxed structure of Rb2UPdO6.

Cell lengths 5.8897, 5.8897, 5.8897 Å; angles 60.00, 60.00, 60.00 degrees
Closest atoms and distances in Å follow each position.
Fractional coordinates of all 10 atoms:
Rb  0.2500  0.2500  0.2500  12 O 2.94
Rb  0.7500  0.7500  0.7500  12 O 2.94
U  0.0000  0.0000  0.0000  6 O 2.08
Pd  0.5000  0.5000  0.5000  6 O 2.08
O  0.2499  0.2499  0.7501  1 U 2.08, 1 Pd 2.08
O  0.2499  0.7501  0.2499  1 U 2.08, 1 Pd 2.08
O  0.2499  0.7501  0.7501  1 U 2.08, 1 Pd 2.08
O  0.7501  0.2499  0.2499  1 U 2.08, 1 Pd 2.08
O  0.7501  0.2499  0.7501  1 U 2.08, 1 Pd 2.08
O  0.7501  0.7501  0.2499  1 U 2.08, 1 Pd 2.08

- calculated total energy (eV per atom) = -6.692
- volume (Å³/cell) = 144.5

=====

Density functional theory data (GGA-PBE) for a relaxed structure of Rb2UPd2O6.

Cell lengths 6.9660, 6.9660, 6.9660 Å; angles 53.95, 53.95, 53.95 degrees
Closest atoms and distances in Å follow each position.
Fractional coordinates of all 11 atoms:
Rb  0.2172  0.2172  0.2172  9 O 3.07-3.26
Rb  0.7828  0.7828  0.7828  9 O 3.07-3.26
U  0.0000  0.0000  0.0000  6 O 2.09
Pd  0.4127  0.4127  0.4127  3 O 2.00
Pd  0.5873  0.5873  0.5873  3 O 2.00
O  0.2228  0.2228  0.7695  1 Pd 2.00, 1 U 2.09
O  0.2228  0.7695  0.2228  1 Pd 2.00, 1 U 2.09
O  0.2305  0.7772  0.7772  1 Pd 2.00, 1 U 2.09
O  0.7695  0.2228  0.2228  1 Pd 2.00, 1 U 2.09
O  0.7772  0.2305  0.7772  1 Pd 2.00, 1 U 2.09
O  0.7772  0.7772  0.2305  1 Pd 2.00, 1 U 2.09

- calculated total energy (eV per atom) = -6.409
- volume (Å³/cell) = 205.2

=====

Density functional theory data (GGA-PBE) for a relaxed structure of RbUPdO6.

Cell lengths 7.5781, 7.5781, 7.5781 Å; angles 122.95, 116.98, 90.14 degrees
Closest atoms and distances in Å follow each position.
Fractional coordinates of all 18 atoms:
Rb  0.3663  0.1163  0.2500  6 O 3.12-3.34
Rb  0.6337  0.8837  0.7500  6 O 3.12-3.34
U  0.0000  0.5000  0.5000  6 O 2.03-2.14
U  0.5000  0.5000  0.0000  6 O 2.03-2.14
Pd  0.0000  0.0000  0.5000  6 O 1.98-2.00
Pd  0.0000  0.5000  0.0000  6 O 1.98-2.00
O  0.0574  0.4286  0.2354  1 Pd 2.00, 1 U 2.03
O  0.0574  0.8220  0.6288  1 Pd 2.00, 1 U 2.03
O  0.0749  0.8249  0.2500  2 Pd 1.98
O  0.3068  0.1780  0.7354  1 Pd 2.00, 1 U 2.03
O  0.3068  0.5714  0.1288  1 Pd 2.00, 1 U 2.03
O  0.3256  0.5756  0.7500  2 U 2.14
O  0.6744  0.4244  0.2500  2 U 2.14
O  0.6932  0.4286  0.8712  1 Pd 2.00, 1 U 2.03
O  0.6932  0.8220  0.2646  1 Pd 2.00, 1 U 2.03
O  0.9251  0.1751  0.7500  2 Pd 1.98
O  0.9426  0.1780  0.3712  1 Pd 2.00, 1 U 2.03
O  0.9426  0.5714  0.7646  1 Pd 2.00, 1 U 2.03

- calculated total energy (eV per atom) = -6.985
- volume (Å³/cell) = 306.8

=====

Copy entry 8 word for word.
Density functional theory data (GGA-PBE) for a relaxed structure of Rb2UPd2O6.

Cell lengths 6.9660, 6.9660, 6.9660 Å; angles 53.95, 53.95, 53.95 degrees
Closest atoms and distances in Å follow each position.
Fractional coordinates of all 11 atoms:
Rb  0.2172  0.2172  0.2172  9 O 3.07-3.26
Rb  0.7828  0.7828  0.7828  9 O 3.07-3.26
U  0.0000  0.0000  0.0000  6 O 2.09
Pd  0.4127  0.4127  0.4127  3 O 2.00
Pd  0.5873  0.5873  0.5873  3 O 2.00
O  0.2228  0.2228  0.7695  1 Pd 2.00, 1 U 2.09
O  0.2228  0.7695  0.2228  1 Pd 2.00, 1 U 2.09
O  0.2305  0.7772  0.7772  1 Pd 2.00, 1 U 2.09
O  0.7695  0.2228  0.2228  1 Pd 2.00, 1 U 2.09
O  0.7772  0.2305  0.7772  1 Pd 2.00, 1 U 2.09
O  0.7772  0.7772  0.2305  1 Pd 2.00, 1 U 2.09

- calculated total energy (eV per atom) = -6.409
- volume (Å³/cell) = 205.2